1.
The following is a DFT calculation (GGA-PBEsol) of a geometry-optimized AgMo2Br structure.

abc: 3.105 4.514 4.795
angles: 90.00 90.00 90.00
Space group Pmmm (No. 47)
Asymmetric unit:
Ag: 0.000 0.000 0.000 (multiplicity 1)
Mo: 0.000 0.500 0.500 (multiplicity 1)
Mo: 0.500 0.000 0.500 (multiplicity 1)
Br: 0.500 0.500 0.000 (multiplicity 1)

Output
As for the density of states at the Fermi level: 0.917 states/eV per atom. The energy above the lowest structure with this stoichiometry is 634 meV/atom. The uncorrected formation energy is 960 meV/atom.



2.
The following is a DFT calculation (GGA-PBEsol) of a geometry-optimized Ag2MoBr structure.

abc: 2.938 4.609 5.163
angles: 90.00 90.00 90.00
Space group Pmmm (No. 47)
Asymmetric unit:
Ag: 0.000 0.000 0.000 (multiplicity 1)
Ag: 0.500 0.500 0.000 (multiplicity 1)
Mo: 0.000 0.500 0.500 (multiplicity 1)
Br: 0.500 0.000 0.500 (multiplicity 1)

Output
As for the density of states at the Fermi level: 0.856 states/eV per atom. The energy above the lowest structure with this stoichiometry is 199 meV/atom. The uncorrected formation energy is 715 meV/atom.



3.
The following is a DFT calculation (GGA-PBEsol) of a geometry-optimized AgMo2Br structure.

abc: 3.1592 3.1592 25.6150
angles: 90.00 90.00 120.00
Space group R3m (No. 160, hexagonal axes)
Asymmetric unit:
Ag: 0.0000 0.0000 0.0000 (multiplicity 3)
Mo: 0.0000 0.0000 0.2448 (multiplicity 3)
Mo: 0.0000 0.0000 0.5130 (multiplicity 3)
Br: 0.0000 0.0000 0.7653 (multiplicity 3)

Output
As for the density of states at the Fermi level: 0.446 states/eV per atom. The energy above the lowest structure with this stoichiometry is 0 meV/atom. The uncorrected formation energy is 327 meV/atom.



4.
The following is a DFT calculation (GGA-PBEsol) of a geometry-optimized Ag2MoBr structure.

abc: 3.131 4.765 9.536
angles: 90.00 90.00 90.00
Space group Cmmm (No. 65)
Asymmetric unit:
Ag: 0.000 0.000 0.240 (multiplicity 4)
Mo: 0.000 0.500 0.000 (multiplicity 2)
Br: 0.000 0.500 0.500 (multiplicity 2)

Output
As for the density of states at the Fermi level: 0.620 states/eV per atom. The energy above the lowest structure with this stoichiometry is 0 meV/atom. The uncorrected formation energy is 516 meV/atom.



5.
The following is a DFT calculation (GGA-PBEsol) of a geometry-optimized AgMo2Br structure.

abc: 3.053 3.053 6.720
angles: 90.00 90.00 90.00
Space group P4/mmm (No. 123)
Asymmetric unit:
Ag: 0.000 0.000 0.000 (multiplicity 1)
Mo: 0.500 0.500 0.266 (multiplicity 2)
Br: 0.000 0.000 0.500 (multiplicity 1)

Output
As for the density of states at the Fermi level: 0.978 states/eV per atom. The energy above the lowest structure with this stoichiometry is 528 meV/atom. The uncorrected formation energy is 854 meV/atom.



6.
The following is a DFT calculation (GGA-PBEsol) of a geometry-optimized AgSb2MoBr structure.

abc: 5.263 5.263 5.018
angles: 90.00 90.00 90.00
Space group P4/mmm (No. 123)
Asymmetric unit:
Ag: 0.000 0.000 0.000 (multiplicity 1)
Sb: 0.000 0.500 0.000 (multiplicity 2)
Mo: 0.500 0.500 0.500 (multiplicity 1)
Br: 0.000 0.000 0.500 (multiplicity 1)

Output
As for the density of states at the Fermi level: 0.751 states/eV per atom. The uncorrected formation energy is 1251 meV/atom.



7.
The following is a DFT calculation (GGA-PBEsol) of a geometry-optimized AgMoSe2Br structure.

abc: 5.008 5.008 4.944
angles: 90.00 90.00 90.00
Space group P4/mmm (No. 123)
Asymmetric unit:
Ag: 0.000 0.000 0.000 (multiplicity 1)
Mo: 0.500 0.500 0.500 (multiplicity 1)
Se: 0.000 0.500 0.000 (multiplicity 2)
Br: 0.000 0.000 0.500 (multiplicity 1)

Output
As for the density of states at the Fermi level: 0.849 states/eV per atom. The uncorrected formation energy is 1059 meV/atom.



8.
The following is a DFT calculation (GGA-PBEsol) of a geometry-optimized AgBrN2 structure.

abc: 3.1882 3.1882 18.9304
angles: 90.00 90.00 120.00
Space group R-3m (No. 166, hexagonal axes)
Asymmetric unit:
Ag: 0.0000 0.0000 0.0000 (multiplicity 3)
Br: 0.0000 0.0000 0.5000 (multiplicity 3)
N: 0.0000 0.0000 0.1075 (multiplicity 6)

Output
As for the density of states at the Fermi level: 0.375 states/eV per atom. The uncorrected formation energy is 1691 meV/atom.



9.
The following is a DFT calculation (GGA-PBEsol) of a geometry-optimized NaAgBr2 structure.

abc: 6.345 6.345 12.532
angles: 90.00 90.00 90.00
Space group I-42d (No. 122)
Asymmetric unit:
Na: 0.000 0.000 0.000 (multiplicity 4)
Ag: 0.000 0.000 0.500 (multiplicity 4)
Br: 0.228 0.250 0.625 (multiplicity 8)

Output
As for the density of states at the Fermi level: 0.000 states/eV per atom. The energy above the lowest structure with this stoichiometry is 0 meV/atom. The uncorrected formation energy is -857 meV/atom.



10.
The following is a DFT calculation (GGA-PBEsol) of a geometry-optimized NaAgBr2 structure.

abc: 4.3631 4.3631 23.6056
angles: 90.00 90.00 120.00
Space group R-3m (No. 166, hexagonal axes)
Asymmetric unit:
Na: 0.0000 0.0000 0.0000 (multiplicity 3)
Ag: 0.0000 0.0000 0.5000 (multiplicity 3)
Br: 0.0000 0.0000 0.3973 (multiplicity 6)

Output
As for the density of states at the Fermi level: 0.000 states/eV per atom. The energy above the lowest structure with this stoichiometry is 43 meV/atom. The uncorrected formation energy is -814 meV/atom.



11.
The following is a DFT calculation (GGA-PBEsol) of a geometry-optimized Na2AgPBr structure.

abc: 5.469 5.469 4.976
angles: 90.00 90.00 90.00
Space group P4/mmm (No. 123)
Asymmetric unit:
Na: 0.000 0.500 0.000 (multiplicity 2)
Ag: 0.000 0.000 0.500 (multiplicity 1)
P: 0.500 0.500 0.000 (multiplicity 1)
Br: 0.500 0.500 0.500 (multiplicity 1)

Output
As for the density of states at the Fermi level: 0.950 states/eV per atom. The uncorrected formation energy is 229 meV/atom.



12.
The following is a DFT calculation (GGA-PBEsol) of a geometry-optimized NaAgSe2Br structure.

abc: 4.955 4.955 5.569
angles: 90.00 90.00 90.00
Space group P4/mmm (No. 123)
Asymmetric unit:
Na: 0.000 0.000 0.000 (multiplicity 1)
Ag: 0.000 0.000 0.500 (multiplicity 1)
Se: 0.000 0.500 0.000 (multiplicity 2)
Br: 0.500 0.500 0.500 (multiplicity 1)

Output
As for the density of states at the Fermi level: 1.121 states/eV per atom. The uncorrected formation energy is 700 meV/atom.



13.
The following is a DFT calculation (GGA-PBEsol) of a geometry-optimized Nb3AgBr structure.

abc: 4.928 4.928 4.928
angles: 90.00 90.00 90.00
Space group Pm-3m (No. 221)
Asymmetric unit:
Nb: 0.000 0.000 0.500 (multiplicity 3)
Ag: 0.000 0.000 0.000 (multiplicity 1)
Br: 0.500 0.500 0.500 (multiplicity 1)

Output
As for the density of states at the Fermi level: 0.846 states/eV per atom. The uncorrected formation energy is 1886 meV/atom.



14.
The following is a DFT calculation (GGA-PBEsol) of a geometry-optimized NbAgBr2 structure.

abc: 3.2160 3.2160 30.1464
angles: 90.00 90.00 120.00
Space group R-3m (No. 166, hexagonal axes)
Asymmetric unit:
Nb: 0.0000 0.0000 0.0000 (multiplicity 3)
Ag: 0.0000 0.0000 0.5000 (multiplicity 3)
Br: 0.0000 0.0000 0.3960 (multiplicity 6)

Output
As for the density of states at the Fermi level: 0.476 states/eV per atom. The uncorrected formation energy is -202 meV/atom.



15.
The following is a DFT calculation (GGA-PBEsol) of a geometry-optimized Rb2NdAgBr6 structure.

abc: 11.209 11.209 11.209
angles: 90.00 90.00 90.00
Space group Fm-3m (No. 225)
Asymmetric unit:
Rb: 0.250 0.250 0.250 (multiplicity 8)
Nd: 0.000 0.000 0.000 (multiplicity 4)
Ag: 0.000 0.000 0.500 (multiplicity 4)
Br: 0.000 0.000 0.253 (multiplicity 24)

Output
As for the density of states at the Fermi level: 0.000 states/eV per atom. The uncorrected formation energy is -1482 meV/atom.